The following is a PBE calculation of a geometry-optimized NpSe3 structure, from Alexandria.

Calculated values
Crystal system: monoclinic
Volume (Å³/cell): 227.75
E_form (uncorrected) (eV/f.u.): -3.4

abc: 4.059 5.697 9.934
angles: 82.54 90.00 90.00
Site moments in Bohr magnetons follow the coordinates.
Fractional coordinates of all 8 atoms:
Se  0.750  0.470  0.312  -0.10
Se  0.250  0.116  0.685  -0.10
Np  0.750  0.282  0.860  3.36
Se  0.750  0.884  0.315  -0.10
Se  0.750  0.766  0.932  -0.14
Se  0.250  0.530  0.688  -0.10
Np  0.250  0.718  0.140  3.36
Se  0.250  0.234  0.068  -0.14

The following is a PBE calculation of a geometry-optimized La4PmDy2 structure, from Alexandria.

Calculated values
Crystal system: monoclinic
Volume (Å³/cell): 493.89
DFT formation energy (kJ/mol of atoms): 6.7
ΔE to the lowest computed polymorph (kJ/mol of formula units): 0

abc: 12.781 12.781 6.913
angles: 96.93 96.94 150.28
Fractional coordinates of all 14 atoms:
La  0.559  0.597  0.132
Dy  0.628  0.312  0.455
La  0.135  0.030  0.088
Dy  0.109  0.923  0.545
Dy  0.312  0.628  0.955
La  0.794  0.188  0.410
La  0.598  0.559  0.632
Pm  0.418  0.668  0.501
La  0.188  0.794  0.910
La  0.030  0.135  0.588
Pm  0.668  0.418  0.001
La  0.181  0.717  0.371
Dy  0.923  0.109  0.045
La  0.717  0.182  0.871

The following is a PBE calculation of a geometry-optimized PmCd3 structure, from Alexandria.

Calculated values
Crystal system: hexagonal
Volume (Å³/cell): 198.13
DFT formation energy (kJ/mol of atoms): -29.6

abc: 5.004 6.762 6.762
angles: 60.00 90.00 90.00
Fractional coordinates of all 8 atoms:
Pm  0.250  0.333  0.333
Cd  0.250  0.319  0.840
Cd  0.250  0.840  0.319
Cd  0.250  0.840  0.840
Cd  0.750  0.681  0.160
Cd  0.750  0.160  0.160
Cd  0.750  0.160  0.681
Pm  0.750  0.667  0.667

The following is a PBE calculation of a geometry-optimized LaNdGd structure, from Alexandria.

Calculated values
Crystal system: tetragonal
Volume (Å³/cell): 105.35
DFT formation energy (kJ/mol of atoms): 1.0
ΔE to the lowest computed polymorph (kJ/mol of formula units): 0

abc: 3.696 3.696 8.143
angles: 103.12 103.12 90.00
Site moments in Bohr magnetons follow the coordinates.
Fractional coordinates of all 3 atoms:
Nd  0.998  0.998  0.996  -0.04
La  0.667  0.667  0.334  -0.01
Gd  0.335  0.335  0.669  7.33

The following is a PBE calculation of a geometry-optimized VCuCl3 structure, from Alexandria.

Calculated values
Crystal system: cubic
Volume (Å³/cell): 112.32
ΔE to the lowest computed polymorph (kJ/mol of formula units): 0
E_form (uncorrected) (eV/f.u.): -1.8

abc: 4.825 4.825 4.825
angles: 90.00 90.00 90.00
Site moments in Bohr magnetons follow the coordinates.
Fractional coordinates of all 5 atoms:
Cl  0.500  0.000  0.000  -0.01
Cl  0.000  0.000  0.500  -0.01
Cu  0.500  0.500  0.500  0.04
V  0.000  0.000  0.000  2.39
Cl  0.000  0.500  0.000  -0.01

The following is a PBE calculation of a geometry-optimized AcMgCu structure, from Alexandria.

Calculated values
Crystal system: cubic
Volume (Å³/cell): 87.22
DFT formation energy (kJ/mol of atoms): -0.9
ΔE to the lowest computed polymorph (kJ/mol of formula units): 39

abc: 4.978 4.978 4.978
angles: 60.00 60.00 60.00
Fractional coordinates of all 3 atoms:
Mg  0.500  0.500  0.500
Ac  0.000  0.000  0.000
Cu  0.250  0.250  0.250

The following is a PBE calculation of a geometry-optimized Np2SnPb structure, from Alexandria.

Calculated values
Crystal system: tetragonal
Volume (Å³/cell): 104.67
DFT formation energy (kJ/mol of atoms): 11.8
ΔE to the lowest computed polymorph (kJ/mol of formula units): 0

abc: 3.338 3.338 9.391
angles: 90.00 90.00 90.00
Site moments in Bohr magnetons follow the coordinates.
Fractional coordinates of all 4 atoms:
Np  0.000  0.000  0.758  4.26
Pb  0.500  0.500  0.500  -0.06
Np  0.000  0.000  0.242  4.26
Sn  0.500  0.500  0.000  -0.07

The following is a PBE calculation of a geometry-optimized Nd6Mg2Tl structure, from Alexandria.

Calculated values
Crystal system: tetragonal
Volume (Å³/cell): 572.74
DFT formation energy (kJ/mol of atoms): -7.8
ΔE to the lowest computed polymorph (kJ/mol of formula units): 0

abc: 5.210 10.486 10.485
angles: 90.00 90.01 90.00
Fractional coordinates of all 18 atoms:
Mg  0.500  0.812  0.688
Nd  0.000  0.363  0.137
Nd  0.500  0.173  0.990
Nd  0.000  0.010  0.173
Tl  0.500  0.500  0.000
Nd  0.500  0.137  0.637
Nd  0.500  0.490  0.673
Nd  0.500  0.827  0.010
Tl  0.000  0.000  0.500
Mg  0.000  0.312  0.812
Nd  0.000  0.673  0.510
Nd  0.000  0.327  0.490
Nd  0.500  0.510  0.327
Mg  0.500  0.188  0.312
Nd  0.500  0.863  0.363
Mg  0.000  0.688  0.188
Nd  0.000  0.990  0.827
Nd  0.000  0.637  0.863

The following is a PBE calculation of a geometry-optimized Nd2GeN structure, from Alexandria.

Calculated values
Crystal system: trigonal
Volume (Å³/cell): 87.99
E_form (uncorrected) (eV/f.u.): -3.9

abc: 3.713 3.713 7.675
angles: 76.00 76.00 60.00
Fractional coordinates of all 4 atoms:
N  0.500  0.500  0.500
Nd  0.231  0.231  0.307
Ge  0.000  0.000  0.000
Nd  0.769  0.769  0.693

The following is a PBE calculation of a geometry-optimized TlCu2TcRu structure, from Alexandria.

Calculated values
Crystal system: tetragonal
Volume (Å³/cell): 112.85
DFT formation energy (kJ/mol of atoms): 195.2

abc: 4.674 4.674 5.165
angles: 90.00 90.00 90.00
Site moments in Bohr magnetons follow the coordinates.
Fractional coordinates of all 5 atoms:
Tl  0.000  0.000  0.000  -0.01
Tc  0.000  0.000  0.500  2.44
Cu  0.000  0.500  0.000  0.04
Ru  0.500  0.500  0.500  2.34
Cu  0.500  0.000  0.000  0.04

The following is a PBE calculation of a geometry-optimized HfSc2Tl2S6 structure, from Alexandria.

Calculated values
Crystal system: monoclinic
Volume (Å³/cell): 275.88
E_form (uncorrected) (eV/f.u.): -16.0

abc: 6.471 6.471 7.914
angles: 97.93 97.93 120.00
Fractional coordinates of all 11 atoms:
Tl  0.167  0.833  0.000
S  0.265  0.265  0.312
S  0.735  0.735  0.688
S  0.391  0.064  0.687
Sc  0.667  0.333  0.500
Tl  0.833  0.167  0.000
S  0.609  0.936  0.313
Sc  0.333  0.667  0.500
S  0.064  0.391  0.687
Hf  0.000  0.000  0.500
S  0.936  0.609  0.313

The following is a PBE calculation of a geometry-optimized ZrSb2Au structure, from Alexandria.

Calculated values
Crystal system: monoclinic
Volume (Å³/cell): 103.59
E_form (uncorrected) (eV/f.u.): -1.3

abc: 4.430 3.133 7.628
angles: 78.07 90.00 90.00
Fractional coordinates of all 4 atoms:
Sb  0.500  0.150  0.329
Au  0.500  0.957  0.711
Sb  0.000  0.846  0.927
Zr  0.000  0.547  0.533